Material: NpAs2
Method: DFT, PBEsol
State: relaxed

The structure belongs to space group P4/nmm (No. 129, origin choice 2); the cell edges are 3.900, 3.900 and 7.904 Å and the angles 90.00°, 90.00° and 90.00°. The inequivalent atoms are Np at (0.250, 0.250, 0.214), As at (0.250, 0.250, 0.855) and As at (0.250, 0.750, 0.500).

The formation enthalpy at 0 K comes out at -454.8 meV/atom. The calculation puts the magnetization at 0.95 μB per atom. For the density of states at the Fermi level, the calculation gives 2.58 states/eV per atom.